# 1
CsRbZnGeP after structural relaxation. Source: Alexandria, functional PBE.

Its total DFT energy (no corrections) is -0.09914 hartree per atom. Its space-group type is Cm. For the total magnetic moment, the calculation gives 0.00 μB per cell. The calculation puts the formation energy at -0.07 eV per atom.

```
data_CsRbZnGeP
_cell_length_a 5.524
_cell_length_b 3.849
_cell_length_c 19.030
_cell_angle_alpha 90.00
_cell_angle_beta 106.64
_cell_angle_gamma 90.00
_space_group_name_H-M_alt 'P 1'
_space_group_IT_number 1
loop_
_space_group_symop_operation_xyz
'x,y,z'
loop_
_atom_site_label
_atom_site_fract_x
_atom_site_fract_y
_atom_site_fract_z
_atom_site_occupancy
Rb1 0.118 0.000 0.385 1
Rb2 0.118 0.500 0.885 1
P1 0.554 0.000 0.820 1
P2 0.554 0.500 0.320 1
Zn1 0.693 0.500 0.461 1
Zn2 0.693 0.000 0.961 1
Ge1 0.477 0.500 0.742 1
Ge2 0.477 0.000 0.242 1
Cs1 0.887 0.500 0.151 1
Cs2 0.887 0.000 0.651 1
```

# 2
CsRbZnGeP after structural relaxation. Source: Alexandria, functional PBE.

Its total DFT energy (no corrections) is -0.09871 hartree per atom. Its space-group type is Cm. For the total magnetic moment, the calculation gives 0.00 μB per cell. The calculation puts the formation energy at -0.06 eV per atom.

```
data_CsRbZnGeP
_cell_length_a 8.378
_cell_length_b 3.955
_cell_length_c 13.863
_cell_angle_alpha 90.00
_cell_angle_beta 93.11
_cell_angle_gamma 90.00
_space_group_name_H-M_alt 'P 1'
_space_group_IT_number 1
loop_
_space_group_symop_operation_xyz
'x,y,z'
loop_
_atom_site_label
_atom_site_fract_x
_atom_site_fract_y
_atom_site_fract_z
_atom_site_occupancy
Rb1 0.084 0.000 0.714 1
Rb2 0.084 0.500 0.214 1
Cs1 0.541 0.000 0.491 1
Cs2 0.541 0.500 0.991 1
P1 0.407 0.000 0.199 1
P2 0.407 0.500 0.699 1
Ge1 0.540 0.500 0.271 1
Ge2 0.540 0.000 0.771 1
Zn1 0.734 0.000 0.196 1
Zn2 0.734 0.500 0.696 1
```

# 3
CsRbZnGeP after structural relaxation. Source: Alexandria, functional PBE.

Its total DFT energy (no corrections) is -0.09969 hartree per atom. Its space-group type is P1. For the total magnetic moment, the calculation gives 0.00 μB per cell. The calculation puts the formation energy at -0.09 eV per atom.

```
data_CsRbZnGeP
_cell_length_a 4.808
_cell_length_b 5.920
_cell_length_c 7.180
_cell_angle_alpha 90.83
_cell_angle_beta 109.34
_cell_angle_gamma 113.66
_space_group_name_H-M_alt 'P 1'
_space_group_IT_number 1
loop_
_space_group_symop_operation_xyz
'x,y,z'
loop_
_atom_site_label
_atom_site_fract_x
_atom_site_fract_y
_atom_site_fract_z
_atom_site_occupancy
Zn1 0.561 0.664 0.138 1
P1 0.692 0.057 0.005 1
Rb1 0.900 0.727 0.744 1
Cs1 0.409 0.093 0.405 1
Ge1 0.984 0.460 0.188 1
```

# 4
CsRbZnGeP after structural relaxation. Source: Alexandria, functional PBE.

Its total DFT energy (no corrections) is -0.09837 hartree per atom. Its space-group type is Cm. For the total magnetic moment, the calculation gives 0.01 μB per cell. The calculation puts the formation energy at -0.05 eV per atom.

```
data_CsRbZnGeP
_cell_length_a 7.222
_cell_length_b 4.589
_cell_length_c 12.615
_cell_angle_alpha 90.00
_cell_angle_beta 116.05
_cell_angle_gamma 90.00
_space_group_name_H-M_alt 'P 1'
_space_group_IT_number 1
loop_
_space_group_symop_operation_xyz
'x,y,z'
loop_
_atom_site_label
_atom_site_fract_x
_atom_site_fract_y
_atom_site_fract_z
_atom_site_occupancy
Ge1 0.346 0.000 0.093 1
Ge2 0.346 0.500 0.593 1
P1 0.692 0.500 0.674 1
P2 0.692 0.000 0.174 1
Cs1 0.711 0.000 0.898 1
Cs2 0.711 0.500 0.398 1
Rb1 0.069 0.500 0.228 1
Rb2 0.069 0.000 0.728 1
Zn1 0.286 0.000 0.498 1
Zn2 0.286 0.500 0.998 1
```

# 5
CsRbZnGeP after structural relaxation. Source: Alexandria, functional PBE.

Its total DFT energy (no corrections) is -0.09906 hartree per atom. Its space-group type is P1. For the total magnetic moment, the calculation gives 0.00 μB per cell. The calculation puts the formation energy at -0.07 eV per atom.

```
data_CsRbZnGeP
_cell_length_a 4.086
_cell_length_b 5.063
_cell_length_c 11.344
_cell_angle_alpha 80.00
_cell_angle_beta 89.31
_cell_angle_gamma 66.69
_space_group_name_H-M_alt 'P 1'
_space_group_IT_number 1
loop_
_space_group_symop_operation_xyz
'x,y,z'
loop_
_atom_site_label
_atom_site_fract_x
_atom_site_fract_y
_atom_site_fract_z
_atom_site_occupancy
P1 0.969 0.185 0.732 1
Ge1 0.464 0.203 0.595 1
Rb1 0.070 0.002 0.365 1
Zn1 0.730 0.661 0.628 1
Cs1 0.688 0.724 0.938 1
```

# 6
CsGeP2S8 after structural relaxation. Source: Alexandria, functional PBE.

Its total DFT energy (no corrections) is -0.16010 hartree per atom. Its space-group type is P-3. For the total magnetic moment, the calculation gives 0.01 μB per cell. The calculation puts the raw formation energy at -247 meV per atom.

```
data_CsGeP2S8
_cell_length_a 5.926
_cell_length_b 5.926
_cell_length_c 10.352
_cell_angle_alpha 90.00
_cell_angle_beta 90.00
_cell_angle_gamma 120.00
_space_group_name_H-M_alt 'P 1'
_space_group_IT_number 1
loop_
_space_group_symop_operation_xyz
'x,y,z'
loop_
_atom_site_label
_atom_site_fract_x
_atom_site_fract_y
_atom_site_fract_z
_atom_site_occupancy
S1 0.003 0.672 0.353 1
S2 0.333 0.667 0.896 1
S3 0.330 0.003 0.647 1
S4 0.328 0.330 0.353 1
S5 0.997 0.328 0.647 1
S6 0.667 0.333 0.104 1
S7 0.670 0.997 0.353 1
S8 0.672 0.670 0.647 1
P1 0.667 0.333 0.297 1
P2 0.333 0.667 0.703 1
Ge1 0.000 0.000 0.500 1
Cs1 0.000 0.000 0.000 1
```